4
Lattice="4.7277 0.0000 0.0000 2.3638 4.0943 0.0000 2.3638 1.3648 3.8601" Properties=species:S:1:pos:R:3 comment="PaPdRhAu (PBE-GGA, optimized geometry)" magmom_total_mub_per_fu=0.0 n_ef_per_ev_cell=4.81 e_form_mev_per_atom=-557 dft_energy_ev_per_atom=-6.886 pbc="T T T"
Pd 4.7277 2.7295 1.9301
Pa 7.0915 4.0943 2.8951
Rh 0.0000 0.0000 0.0000
Au 2.3638 1.3648 0.9650

---

4
Lattice="-1.4102 -6.2614 2.5511 6.3139 -0.5073 -2.7531 1.5657 1.0285 3.3958" Properties=species:S:1:pos:R:3 comment="KCa2La (PBE-GGA, optimized geometry)" magmom_total_mub_per_fu=0.0 n_ef_per_ev_cell=5.77 de_polymorph_mev_per_atom=118 e_form_mev_per_atom=243 dft_energy_ev_per_atom=-2.264 pbc="T T T"
K 0.0777 -2.6165 2.9734
Ca 0.0000 0.0000 0.0000
Ca 2.4518 -3.3844 -0.1010
La 3.9398 0.2606 0.3213

---

4
Lattice="-3.5539 -1.2204 -5.6166 -6.0297 -2.7330 -1.3558 3.7242 4.3184 3.6259" Properties=species:S:1:pos:R:3 comment="CaIrSe2 (PBE-GGA, optimized geometry)" magmom_total_mub_per_fu=0.0 n_ef_per_ev_cell=3.94 de_polymorph_mev_per_atom=248 e_form_raw_ev_per_fu=-1.987 dft_energy_ev_per_atom=-4.955 pbc="T T T"
Ca -4.3878 -1.8101 -3.1923
Se -0.5627 -0.2321 -0.4094
Se -2.5553 0.4598 -2.9164
Ir -3.1453 -0.0292 -0.3146

---

8
Lattice="-3.0307 -2.5971 1.4357 1.5522 -5.1142 -5.9746 5.1583 -4.7147 2.3603" Properties=species:S:1:pos:R:3 comment="La4TcAuCl2 (PBE-GGA, optimized geometry)" magmom_total_mub_per_fu=0.0 n_ef_per_ev_cell=3.63 e_form_raw_ev_per_fu=-7.937 dft_energy_ev_per_atom=-5.623 pbc="T T T"
Cl 5.1583 -4.7147 2.3603
Au -0.7393 -3.8557 -2.2695
La 2.6572 -6.1670 0.7191
Cl 1.0638 -3.6559 1.8980
La 1.0227 -6.2591 -2.8977
Tc 3.3553 -4.9145 -1.8071
La -1.2125 -5.3318 0.3269
La 4.8923 -7.0943 -2.5055

---

12
Lattice="6.2890 0.0000 0.0000 0.0000 6.2890 0.0000 0.0000 0.0000 8.3905" Properties=species:S:1:pos:R:3 comment="KNpSe4 (PBE-GGA, optimized geometry)" magmom_total_mub_per_fu=4.0 n_ef_per_ev_cell=18.09 e_form_raw_ev_per_fu=-5.266 dft_energy_ev_per_atom=-5.540 pbc="T T T"
Se 0.8797 2.2648 6.6775
K 3.1445 3.1445 4.1953
Se 4.0242 5.4093 1.7130
Se 2.2648 0.8797 1.7130
Se 0.8797 4.0242 1.7130
K 0.0000 0.0000 4.1953
Se 4.0242 0.8797 6.6775
Np 3.1445 3.1445 0.0000
Np 0.0000 0.0000 0.0000
Se 5.4093 2.2648 1.7130
Se 5.4093 4.0242 6.6775
Se 2.2648 5.4093 6.6775

---

4
Lattice="-1.7865 -0.3977 -4.6176 -0.7570 -4.8587 -0.7010 -1.5334 2.9122 3.7201" Properties=species:S:1:pos:R:3 comment="AgPt2Br (PBE-GGA, optimized geometry)" magmom_total_mub_per_fu=0.0 n_ef_per_ev_cell=4.24 de_polymorph_mev_per_atom=373 e_form_raw_ev_per_fu=2.293 dft_energy_ev_per_atom=-3.578 pbc="T T T"
Pt -1.7811 -2.2874 0.1799
Ag -1.2717 -2.6282 -2.6593
Br -2.2958 -0.0569 -1.7784
Pt 0.0000 0.0000 0.0000

---

8
Lattice="-3.8412 1.7762 -0.1413 -0.1245 -5.3585 -0.8217 -0.8062 -1.1416 7.5667" Properties=species:S:1:pos:R:3 comment="TbPdAu2 (PBE-GGA, optimized geometry)" magmom_total_mub_per_fu=0.0 n_ef_per_ev_cell=2.98 e_form_mev_per_atom=-707 dft_energy_ev_per_atom=-4.801 pbc="T T T"
Au -3.2126 -1.3672 6.8338
Au -1.5594 -3.3568 -0.2301
Au -2.9007 -0.9255 3.9062
Au -1.8713 -3.7984 2.6975
Pd -3.2439 -1.8249 1.3353
Tb -4.2911 -3.8381 4.8324
Pd -1.5280 -2.8991 5.2684
Tb -0.4809 -0.8858 1.7713

---

5
Lattice="5.3699 0.0000 0.0000 0.0000 4.2656 0.0000 0.0000 0.0000 5.3699" Properties=species:S:1:pos:R:3 comment="Y2NiAuSe (PBE-GGA, optimized geometry)" magmom_total_mub_per_fu=0.0 n_ef_per_ev_cell=3.70 e_form_raw_ev_per_fu=-2.504 dft_energy_ev_per_atom=-5.595 pbc="T T T"
Y 2.6849 0.0000 0.0000
Y 0.0000 0.0000 2.6849
Au 2.6849 2.1328 2.6849
Se 0.0000 0.0000 0.0000
Ni 0.0000 2.1328 0.0000

---

4
Lattice="3.7022 0.0000 0.0000 1.8511 3.2062 0.0000 1.8511 1.0687 8.4172" Properties=species:S:1:pos:R:3 comment="Ho2TlCo (PBE-GGA, optimized geometry)" magmom_total_mub_per_fu=0.0 n_ef_per_ev_cell=2.49 e_form_mev_per_atom=-175 dft_energy_ev_per_atom=-4.832 pbc="T T T"
Ho 5.5533 3.2062 6.8394
Co 0.0000 0.0000 0.0000
Tl 3.7022 2.1375 4.2086
Ho 1.8511 1.0687 1.5778

---

4
Lattice="3.3706 0.0000 0.0000 0.0000 3.3706 0.0000 0.0000 0.0000 5.9317" Properties=species:S:1:pos:R:3 comment="ZrZn2Tc (PBE-GGA, optimized geometry)" magmom_total_mub_per_fu=0.0 n_ef_per_ev_cell=2.61 de_polymorph_mev_per_atom=146 e_form_mev_per_atom=-74 dft_energy_ev_per_atom=-5.439 pbc="T T T"
Zn 1.6853 1.6853 1.3283
Zn 0.0000 0.0000 5.9291
Tc 1.6853 1.6853 4.4595
Zr 0.0000 0.0000 3.1124

---

18
Lattice="4.0371 0.0000 0.0000 -2.0185 7.3803 0.0000 0.0000 0.0000 13.2831" Properties=species:S:1:pos:R:3 comment="NdCd5Pt3 (PBE-GGA, optimized geometry)" magmom_total_mub_per_fu=0.0 n_ef_per_ev_cell=5.81 e_form_mev_per_atom=-381 dft_energy_ev_per_atom=-3.433 pbc="T T T"
Pt 2.0185 4.9347 3.3208
Nd 0.0000 2.5337 3.3208
Cd 2.0185 0.9577 11.3573
Cd 0.0000 6.4226 4.7157
Pt 0.0000 2.4456 9.9623
Cd 2.0185 4.4772 6.0089
Pt 0.0000 5.6557 7.7319
Pt 2.0185 1.7246 1.0904
Cd 0.0000 0.0000 6.6416
Cd 2.0185 4.4772 0.6326
Cd 0.0000 2.9031 12.6505
Cd 0.0000 6.4226 1.9258
Pt 2.0185 1.7246 5.5512
Pt 0.0000 5.6557 12.1928
Cd 2.0185 0.9577 8.5674
Cd 0.0000 0.0000 0.0000
Nd 2.0185 4.8466 9.9623
Cd 0.0000 2.9031 7.2742

---

4
Lattice="-2.2409 1.8780 -2.3670 0.6847 -2.1676 -2.3681 -4.5871 -3.3163 1.7116" Properties=species:S:1:pos:R:3 comment="TlRu2Se (PBE-GGA, optimized geometry)" magmom_total_mub_per_fu=0.0 n_ef_per_ev_cell=4.25 de_polymorph_mev_per_atom=176 e_form_raw_ev_per_fu=1.843 dft_energy_ev_per_atom=-5.640 pbc="T T T"
Ru -4.4047 -3.8500 1.1155
Tl -4.0473 -3.1740 -1.6758
Se -2.0961 -0.4320 -1.3476
Ru -2.1337 -2.2083 0.2679

---

5
Lattice="-3.3621 2.6727 1.7638 -0.2836 -2.4990 3.2460 3.1861 2.5358 2.2307" Properties=species:S:1:pos:R:3 comment="CrP2CCl (PBE-GGA, optimized geometry)" magmom_total_mub_per_fu=0.5 n_ef_per_ev_cell=6.01 de_polymorph_mev_per_atom=1185 e_form_raw_ev_per_fu=12.968 dft_energy_ev_per_atom=-3.709 pbc="T T T"
C -0.2298 1.3548 3.6202
P 1.5931 1.2679 1.1153
P -1.6810 1.3363 0.8819
Cl 0.0000 0.0000 0.0000
Cr -0.1418 -1.2495 1.6230

---

5
Lattice="6.0616 0.0000 0.0000 0.0000 5.5445 0.0000 0.0000 0.0000 6.0616" Properties=species:S:1:pos:R:3 comment="Ba2LaPC (PBE-GGA, optimized geometry)" magmom_total_mub_per_fu=0.3 n_ef_per_ev_cell=3.81 e_form_mev_per_atom=689 dft_energy_ev_per_atom=-3.992 pbc="T T T"
P 0.0000 0.0000 0.0000
Ba 3.0308 0.0000 0.0000
La 0.0000 2.7722 0.0000
Ba 0.0000 0.0000 3.0308
C 3.0308 2.7722 3.0308

---

4
Lattice="-0.5903 4.5410 -0.2407 -0.6725 3.5452 -2.8295 -4.9955 0.5356 -0.0474" Properties=species:S:1:pos:R:3 comment="Ru3Cl (PBE-GGA, optimized geometry)" magmom_total_mub_per_fu=0.0 n_ef_per_ev_cell=5.36 de_polymorph_mev_per_atom=345 e_form_raw_ev_per_fu=3.070 dft_energy_ev_per_atom=-6.651 pbc="T T T"
Ru -1.6757 2.2391 -0.8080
Ru -4.5826 6.3828 -2.3096
Ru -3.1292 4.3109 -1.5588
Cl 0.0000 0.0000 0.0000

---

12
Lattice="4.5417 0.0000 0.0000 -2.2709 8.5105 -0.2166 0.0000 -3.9498 7.7368" Properties=species:S:1:pos:R:3 comment="LaCe3Pt2 (PBE-GGA, optimized geometry)" magmom_total_mub_per_fu=0.0 n_ef_per_ev_cell=23.67 de_polymorph_mev_per_atom=25 e_form_mev_per_atom=-706 dft_energy_ev_per_atom=-6.508 pbc="T T T"
Pt 0.0000 4.9610 6.0514
Pt 2.2709 -0.4004 1.4688
Ce 2.2709 -0.5756 5.2990
Ce 0.0000 5.1363 2.2212
Pt 0.0000 0.5856 6.7560
Pt 2.2709 3.9750 0.7642
La 0.0000 1.7657 0.1703
Ce 2.2709 2.0850 2.8954
Ce 0.0000 2.4757 4.6248
La 2.2709 2.7950 7.3499
Ce 2.2709 5.1557 4.1338
Ce 0.0000 -0.5951 3.3864

---

12
Lattice="4.3433 0.0000 0.0000 0.0000 8.7950 0.2625 -2.1716 -2.5896 9.2028" Properties=species:S:1:pos:R:3 comment="PmTm3Pu2Te6 (PBE-GGA, optimized geometry)" magmom_total_mub_per_fu=12.1 n_ef_per_ev_cell=22.69 e_form_raw_ev_per_fu=-14.551 dft_energy_ev_per_atom=-6.686 pbc="T T T"
Tm 2.1716 -0.2708 6.2009
Te 0.0000 1.8795 6.2779
Tm 2.1716 4.3975 0.1313
Te 2.1716 4.3258 3.1874
Te 2.1716 -0.3073 9.2318
Tm 0.0000 6.4762 3.2643
Pu 2.1716 4.1407 6.3239
Pu 0.0000 2.0647 3.1413
Te 2.1716 -0.1893 3.1511
Te 0.0000 6.5126 0.2334
Pm 2.1716 0.0000 0.0000
Te 0.0000 6.3947 6.3142